VASP calculation (PBE+U) on a relaxed structure of Li4Cr3Co5O16.

abc: 5.7571 5.7949 9.4677
angles: 90.56 90.28 119.74
Sites, in units of the cell vectors:
Li  0.0000  0.0000  0.0000
Li  0.0155  0.0046  0.5020
Li  0.3510  0.6498  0.4015
Li  0.7007  0.3252  0.8959
Cr  0.1964  0.8272  0.7176
Cr  0.3444  0.1555  0.2131
Cr  0.8433  0.6475  0.2180
Co  0.1962  0.3353  0.7178
Co  0.3640  0.6734  0.9912
Co  0.6748  0.3315  0.4946
Co  0.6886  0.8271  0.7165
Co  0.8380  0.1588  0.2219
O  0.0049  0.9968  0.3146
O  0.0238  0.0059  0.8138
O  0.0728  0.5097  0.8422
O  0.1734  0.3172  0.1145
O  0.1800  0.8363  0.1047
O  0.3487  0.1672  0.6075
O  0.3631  0.6536  0.6116
O  0.5138  0.5173  0.8301
O  0.5217  0.9589  0.8386
O  0.5267  0.4605  0.3398
O  0.5304  0.0230  0.3365
O  0.6800  0.8296  0.1069
O  0.6820  0.3110  0.1084
O  0.8533  0.6761  0.6060
O  0.8611  0.1613  0.6171
O  0.9720  0.4565  0.3453

Properties
calculated volume: 274 Å³ per cell
E: -6.20 eV/atom
space-group type: P1